Here is an optimized crystal structure of LiFe2OF5 from Alexandria via LeMat-Bulk. Energies are from PBE+U.

Cell: 9.0548 9.0548 5.2509 Å, 80.90 80.90 144.20°
Closest atoms and distances in Å follow each position.
Atoms (fractional coordinates):
Li (0.4564, 0.5436, 0.5000)  2 F 1.88, 2 O 1.98
Li (0.2192, 0.7808, 0.0000)  2 F 1.87
Fe (0.9623, 0.0377, 0.5000)  4 F 1.95-1.99, 2 O 1.97
Fe (0.6234, 0.3766, 0.5000)  4 F 1.99, 2 O 2.03
Fe (0.2914, 0.7086, 0.5000)  4 F 1.85-2.04
Fe (0.0402, 0.9598, 0.0000)  2 O 1.91, 4 F 1.97-2.01
O (0.2579, 0.1818, 0.5768)  3 Fe 1.91-2.03, 1 Li 1.98
O (0.8182, 0.7421, 0.4232)  3 Fe 1.91-2.03, 1 Li 1.98
F (0.4455, 0.0309, 0.5356)  2 Fe 1.99-2.04, 1 Li 2.10
F (0.3973, 0.1470, 0.9411)  2 Fe 1.99-2.01, 1 Li 2.13
F (0.1899, 0.2610, 0.0678)  2 Fe 1.95-1.97
F (0.8530, 0.6027, 0.0589)  2 Fe 1.99-2.01, 1 Li 2.13
F (0.0875, 0.5084, 0.9098)  1 Fe 1.85, 1 Li 1.87
F (0.1333, 0.3704, 0.5049)  1 Li 1.88, 2 Fe 1.99-2.07
F (0.9691, 0.5545, 0.4644)  2 Fe 1.99-2.04, 1 Li 2.10
F (0.6296, 0.8667, 0.4951)  1 Li 1.88, 2 Fe 1.99-2.07
F (0.4916, 0.9125, 0.0902)  1 Fe 1.85, 1 Li 1.87
F (0.7390, 0.8101, 0.9322)  2 Fe 1.95-1.97

## Properties
polymorph energy (0 for the lowest one) = 2.66 eV/f.u.
size of the total moment = 10.0 Bohr magnetons per cell
energy = -92.06 eV/cell